# CaSc2SnH

A geometry-optimized CaSc2SnH structure (PBE-GGA, Alexandria via LeMat-Bulk).

Lattice parameters (Å, degrees): 4.610 4.610 4.694 90.00 90.00 90.00
Element x y z (fractional)
Ca 0.000 0.000 0.500
H 0.000 0.000 0.000
Sc 0.000 0.500 0.000
Sc 0.500 0.000 0.000
Sn 0.500 0.500 0.500

Values from the calculation:
crystal system	tetragonal
D(E_F)	4.32	states/eV/cell
E_tot	-24.02	eV per cell
magnetization	1.99	μB/f.u.

---

# CaSc2TlH

A geometry-optimized CaSc2TlH structure (PBE-GGA, Alexandria via LeMat-Bulk).

Lattice parameters (Å, degrees): 4.616 4.616 4.759 90.00 90.00 90.00
Element x y z (fractional)
Tl 0.500 0.500 0.500
Sc 0.000 0.500 0.000
H 0.000 0.000 0.000
Sc 0.500 0.000 0.000
Ca 0.000 0.000 0.500

Values from the calculation:
crystal system	tetragonal
D(E_F)	4.03	states/eV/cell
E_tot	-21.53	eV per cell
magnetization	1.47	μB/f.u.

---

# CaYSc2H

A geometry-optimized CaYSc2H structure (PBE-GGA, Alexandria via LeMat-Bulk).

Lattice parameters (Å, degrees): 4.844 4.844 4.881 90.00 90.00 90.00
Element x y z (fractional)
Ca 0.500 0.500 0.500
Sc 0.000 0.500 0.000
H 0.000 0.000 0.000
Sc 0.500 0.000 0.000
Y 0.000 0.000 0.500

Values from the calculation:
crystal system	tetragonal
D(E_F)	7.96	states/eV/cell
E_tot	-24.46	eV per cell
magnetization	0.02	μB/f.u.

---

# CaY2ScH

A geometry-optimized CaY2ScH structure (PBE-GGA, Alexandria via LeMat-Bulk).

Lattice parameters (Å, degrees): 4.968 4.968 5.000 90.00 90.00 90.00
Element x y z (fractional)
Ca 0.000 0.000 0.500
Y 0.500 0.000 0.000
H 0.000 0.000 0.000
Sc 0.500 0.500 0.500
Y 0.000 0.500 0.000

Values from the calculation:
crystal system	tetragonal
D(E_F)	7.27	states/eV/cell
E_tot	-24.83	eV per cell
magnetization	0.00	μB/f.u.

---

# CaYSc2H

A geometry-optimized CaYSc2H structure (PBE-GGA, Alexandria via LeMat-Bulk).

Lattice parameters (Å, degrees): 4.769 4.769 5.025 90.00 90.00 90.00
Element x y z (fractional)
Y 0.500 0.500 0.500
Sc 0.500 0.000 0.000
H 0.000 0.000 0.000
Ca 0.000 0.000 0.500
Sc 0.000 0.500 0.000

Values from the calculation:
crystal system	tetragonal
D(E_F)	7.91	states/eV/cell
E_tot	-24.45	eV per cell
magnetization	0.01	μB/f.u.

---

# Ca2YScH

A geometry-optimized Ca2YScH structure (PBE-GGA, Alexandria via LeMat-Bulk).

Lattice parameters (Å, degrees): 5.024 5.024 5.183 90.00 90.00 90.00
Element x y z (fractional)
Ca 0.000 0.500 0.000
Y 0.000 0.000 0.500
Sc 0.500 0.500 0.500
H 0.000 0.000 0.000
Ca 0.500 0.000 0.000

Values from the calculation:
crystal system	tetragonal
D(E_F)	5.43	states/eV/cell
E_tot	-20.08	eV per cell
magnetization	2.10	μB/f.u.

---

# CaY2ScH

A geometry-optimized CaY2ScH structure (PBE-GGA, Alexandria via LeMat-Bulk).

Lattice parameters (Å, degrees): 5.024 5.024 4.861 90.00 90.00 90.00
Element x y z (fractional)
Y 0.500 0.000 0.000
H 0.000 0.000 0.000
Ca 0.500 0.500 0.500
Sc 0.000 0.000 0.500
Y 0.000 0.500 0.000

Values from the calculation:
crystal system	tetragonal
D(E_F)	7.51	states/eV/cell
E_tot	-24.76	eV per cell
magnetization	0.00	μB/f.u.

---

# CaHSe2

A geometry-optimized CaHSe2 structure (PBE-GGA, Alexandria via LeMat-Bulk).

Lattice parameters (Å, degrees): 4.891 4.891 4.891 60.00 60.00 60.00
Element x y z (fractional)
Se 0.750 0.750 0.750
Se 0.250 0.250 0.250
H 0.000 0.000 0.000
Ca 0.500 0.500 0.500

Values from the calculation:
crystal system	cubic
D(E_F)	4.17	states/eV/cell
E_tot	-12.79	eV per cell
magnetization	0.36	μB/f.u.

---

# CaHSe2

A geometry-optimized CaHSe2 structure (PBE-GGA, Alexandria via LeMat-Bulk).

Lattice parameters (Å, degrees): 6.621 6.621 5.836 55.44 55.44 90.00
Element x y z (fractional)
H 0.250 0.750 0.500
Se 0.375 0.480 0.750
Se 0.875 0.770 0.750
Se 0.520 0.125 0.250
Ca 0.000 0.000 0.000
Se 0.230 0.625 0.250
H 0.500 0.500 0.000
Ca 0.750 0.250 0.500

Values from the calculation:
crystal system	tetragonal
D(E_F)	2.84	states/eV/cell
E_tot	-28.58	eV per cell
magnetization	0.00	μB/f.u.

---

# CaHSe

A geometry-optimized CaHSe structure (PBE-GGA, Alexandria via LeMat-Bulk).

Lattice parameters (Å, degrees): 3.962 5.798 5.106 87.72 89.99 70.02
Element x y z (fractional)
H 0.101 0.089 0.855
H 0.493 0.304 0.741
Se 0.223 0.846 0.487
Ca 0.656 0.978 0.020
Ca 0.938 0.415 0.576
Se 0.372 0.547 0.108

Values from the calculation:
crystal system	monoclinic
E_tot	-22.88	eV per cell
magnetization	0.00	μB/f.u.

---

# CaHSe2

A geometry-optimized CaHSe2 structure (PBE-GGA, Alexandria via LeMat-Bulk).

Lattice parameters (Å, degrees): 6.587 6.587 6.587 40.85 40.85 40.85
Element x y z (fractional)
Se 0.095 0.095 0.095
H 0.000 0.000 0.000
Se 0.905 0.905 0.905
Ca 0.500 0.500 0.500

Values from the calculation:
crystal system	trigonal
D(E_F)	4.53	states/eV/cell
E_tot	-15.17	eV per cell
magnetization	0.00	μB/f.u.

---

# Ca4H6Se

A geometry-optimized Ca4H6Se structure (PBE-GGA, Alexandria via LeMat-Bulk).

Lattice parameters (Å, degrees): 3.586 7.198 7.198 120.00 90.00 90.00
Element x y z (fractional)
Ca 0.500 0.828 0.656
Ca 0.000 0.333 0.667
H 0.000 0.542 0.085
Ca 0.500 0.344 0.172
Se 0.000 0.000 0.000
Ca 0.500 0.828 0.172
H 0.500 0.586 0.793
H 0.500 0.207 0.793
H 0.500 0.207 0.414
H 0.000 0.542 0.458
H 0.000 0.915 0.458

Values from the calculation:
crystal system	hexagonal
D(E_F)	0.00	states/eV/cell
E_tot	-39.45	eV per cell
magnetization	0.00	μB/f.u.

---

# Ca12H5Se3

A geometry-optimized Ca12H5Se3 structure (PBE-GGA, Alexandria via LeMat-Bulk).

Lattice parameters (Å, degrees): 13.679 13.679 13.679 109.47 109.47 109.47
Element x y z (fractional)
Se 0.125 0.875 0.750
H 0.500 0.000 0.500
Ca 0.406 0.289 0.306
Ca 0.806 0.906 0.289
Se 0.875 0.125 0.250
H 0.250 0.375 0.625
Ca 0.383 0.983 0.789
Ca 0.117 0.711 0.517
H 0.875 0.250 0.625
Se 0.750 0.875 0.625
H 0.625 0.875 0.250
Ca 0.100 0.194 0.483
Ca 0.289 0.406 0.806
H 0.000 0.500 0.000
H 0.750 0.125 0.875
Ca 0.806 0.900 0.017
H 0.875 0.625 0.750
H 0.125 0.375 0.250
H 0.000 0.000 0.500
Ca 0.194 0.100 0.983
Ca 0.883 0.594 0.900
Ca 0.789 0.306 0.906
Se 0.625 0.375 0.750
Ca 0.017 0.400 0.806
H 0.250 0.875 0.125
Se 0.250 0.125 0.375
Ca 0.094 0.900 0.383
Ca 0.694 0.211 0.594
H 0.125 0.750 0.375
Ca 0.983 0.383 0.289
Ca 0.617 0.600 0.906
Ca 0.711 0.117 0.017
Ca 0.289 0.883 0.983
Ca 0.117 0.406 0.100
Ca 0.594 0.883 0.400
Ca 0.594 0.711 0.694
Ca 0.600 0.617 0.406
Ca 0.383 0.400 0.094
Se 0.750 0.375 0.125
Ca 0.906 0.806 0.789
Ca 0.400 0.017 0.306
Ca 0.100 0.906 0.117
Ca 0.483 0.789 0.883
Se 0.875 0.750 0.125
H 0.500 0.000 0.000
Ca 0.694 0.483 0.600
H 0.000 0.000 0.000
H 0.625 0.750 0.875
Ca 0.883 0.289 0.483
H 0.000 0.500 0.500
H 0.500 0.500 0.000
Se 0.625 0.250 0.375
Se 0.375 0.625 0.250
Se 0.250 0.625 0.875
Se 0.375 0.750 0.625
Ca 0.600 0.983 0.694
H 0.500 0.500 0.500
Ca 0.017 0.617 0.711
Ca 0.406 0.117 0.600
Ca 0.617 0.017 0.211
Ca 0.789 0.483 0.383
Ca 0.094 0.194 0.211
Ca 0.983 0.600 0.194
Ca 0.194 0.094 0.711
Ca 0.900 0.094 0.883
Ca 0.711 0.594 0.194
Ca 0.483 0.694 0.100
Ca 0.400 0.383 0.594
H 0.375 0.125 0.750
Ca 0.517 0.211 0.117
Ca 0.906 0.100 0.617
Ca 0.306 0.517 0.400
Ca 0.306 0.789 0.406
Ca 0.900 0.806 0.517
Se 0.125 0.250 0.875
H 0.750 0.625 0.375
Ca 0.211 0.694 0.094
H 0.375 0.250 0.125
Ca 0.517 0.306 0.900
Ca 0.211 0.517 0.617

Values from the calculation:
crystal system	cubic
D(E_F)	58.93	states/eV/cell
E_tot	-252.68	eV per cell
magnetization	0.00	μB/f.u.

---

# CaHSe

A geometry-optimized CaHSe structure (PBE-GGA, Alexandria via LeMat-Bulk).

Lattice parameters (Å, degrees): 4.368 4.390 7.390 90.09 126.16 89.96
Element x y z (fractional)
Se 0.833 0.714 0.841
H 0.833 0.715 0.341
Se 0.833 0.215 0.341
Ca 0.333 0.715 0.341
H 0.832 0.214 0.840
Ca 0.333 0.214 0.841

Values from the calculation:
crystal system	triclinic
D(E_F)	1.21	states/eV/cell
E_tot	-23.04	eV per cell
magnetization	0.00	μB/f.u.

---

# CaHSe2

A geometry-optimized CaHSe2 structure (PBE-GGA, Alexandria via LeMat-Bulk).

Lattice parameters (Å, degrees): 8.055 8.055 8.055 26.65 26.65 26.65
Element x y z (fractional)
Se 0.881 0.881 0.881
Ca 0.000 0.000 0.000
Se 0.119 0.119 0.119
H 0.500 0.500 0.500

Values from the calculation:
crystal system	trigonal
D(E_F)	4.25	states/eV/cell
E_tot	-10.19	eV per cell
magnetization	0.00	μB/f.u.

---

# Ca3HSe

A geometry-optimized Ca3HSe structure (PBE-GGA, Alexandria via LeMat-Bulk).

Lattice parameters (Å, degrees): 4.994 4.994 4.994 90.00 90.00 90.00
Element x y z (fractional)
Ca 0.000 0.000 0.500
H 0.000 0.000 0.000
Se 0.500 0.500 0.500
Ca 0.000 0.500 0.000
Ca 0.500 0.000 0.000

Values from the calculation:
crystal system	cubic
D(E_F)	3.55	states/eV/cell
E_tot	-15.09	eV per cell
magnetization	0.00	μB/f.u.

---

# CaHSe

A geometry-optimized CaHSe structure (PBE-GGA, Alexandria via LeMat-Bulk).

Lattice parameters (Å, degrees): 4.101 8.038 15.510 77.74 91.60 90.92
Element x y z (fractional)
H 0.744 0.563 0.802
H 0.945 0.172 0.780
Se 0.947 0.458 0.296
Se 0.263 0.015 0.463
H 0.870 0.047 0.607
Se 0.956 0.422 0.572
Ca 0.455 0.376 0.439
Se 0.971 0.888 0.671
Ca 0.441 0.621 0.164
Ca 0.411 0.409 0.981
Ca 0.966 0.773 0.363
Ca 0.439 0.199 0.717
H 0.440 0.021 0.378
Se 0.469 0.936 0.231
H 0.447 0.976 0.832
Ca 0.458 0.689 0.588
Se 0.891 0.138 0.994
H 0.471 0.662 0.431
Se 0.925 0.631 0.026
H 0.443 0.342 0.135
Ca 0.949 0.909 0.867
Ca 0.955 0.209 0.181
H 0.750 0.024 0.075
Se 0.394 0.520 0.788

Values from the calculation:
crystal system	triclinic
D(E_F)	0.00	states/eV/cell
E_tot	-96.49	eV per cell
magnetization	0.00	μB/f.u.

---

# CaSiHSe2

A geometry-optimized CaSiHSe2 structure (PBE-GGA, Alexandria via LeMat-Bulk).

Lattice parameters (Å, degrees): 4.155 4.497 5.714 90.00 108.21 90.00
Element x y z (fractional)
H 0.188 0.000 0.798
Si 0.555 0.000 0.971
Ca 0.058 0.500 0.494
Se 0.750 0.500 0.923
Se 0.513 0.000 0.368

Values from the calculation:
crystal system	monoclinic
D(E_F)	0.33	states/eV/cell
E_tot	-21.76	eV per cell
magnetization	0.00	μB/f.u.

---

# CaSiHSe2

A geometry-optimized CaSiHSe2 structure (PBE-GGA, Alexandria via LeMat-Bulk).

Lattice parameters (Å, degrees): 4.288 4.474 5.833 90.00 96.33 90.00
Element x y z (fractional)
Se 0.144 0.000 0.022
H 0.983 0.000 0.517
Se 0.513 0.500 0.498
Si 0.298 0.000 0.427
Ca 0.653 0.500 0.010

Values from the calculation:
crystal system	monoclinic
D(E_F)	0.42	states/eV/cell
E_tot	-21.67	eV per cell
magnetization	0.00	μB/f.u.

---

# CaSiHSe2

A geometry-optimized CaSiHSe2 structure (PBE-GGA, Alexandria via LeMat-Bulk).

Lattice parameters (Å, degrees): 3.871 4.052 6.513 89.69 72.11 89.88
Element x y z (fractional)
Ca 0.291 0.389 0.109
H 0.203 0.890 0.320
Se 0.585 0.427 0.549
Se 0.860 0.892 0.975
Si 0.070 0.809 0.574

Values from the calculation:
crystal system	triclinic
D(E_F)	1.46	states/eV/cell
E_tot	-21.04	eV per cell
magnetization	0.00	μB/f.u.

---

# CaSiHSe2

A geometry-optimized CaSiHSe2 structure (PBE-GGA, Alexandria via LeMat-Bulk).

Lattice parameters (Å, degrees): 6.011 4.615 9.390 90.00 99.77 90.00
Element x y z (fractional)
Ca 0.645 0.000 0.532
H 0.930 0.000 0.127
Se 0.150 0.500 0.967
Se 0.650 0.500 0.343
Se 0.150 0.000 0.467
H 0.930 0.500 0.627
Si 0.016 0.500 0.482
Si 0.016 0.000 0.982
Ca 0.645 0.500 0.032
Se 0.650 0.000 0.843

Values from the calculation:
crystal system	monoclinic
D(E_F)	0.86	states/eV/cell
E_tot	-42.67	eV per cell
magnetization	0.00	μB/f.u.

---

# CaSiHSe2

A geometry-optimized CaSiHSe2 structure (PBE-GGA, Alexandria via LeMat-Bulk).

Lattice parameters (Å, degrees): 3.692 4.094 7.116 89.12 75.17 89.97
Element x y z (fractional)
Ca 0.781 0.404 0.954
Se 0.944 0.910 0.636
H 0.572 0.497 0.376
Se 0.207 0.909 0.106
Si 0.560 0.871 0.400

Values from the calculation:
crystal system	triclinic
D(E_F)	1.03	states/eV/cell
E_tot	-21.19	eV per cell
magnetization	0.00	μB/f.u.

---

# CaSiHSe2

A geometry-optimized CaSiHSe2 structure (PBE-GGA, Alexandria via LeMat-Bulk).

Lattice parameters (Å, degrees): 4.554 4.642 6.020 89.32 89.83 60.88
Element x y z (fractional)
Se 0.409 0.186 0.651
H 0.726 0.547 0.880
Si 0.556 0.889 0.981
Se 0.041 0.917 0.147
Ca 0.741 0.526 0.459

Values from the calculation:
crystal system	triclinic
D(E_F)	1.26	states/eV/cell
E_tot	-21.39	eV per cell
magnetization	0.00	μB/f.u.